! HgMo2Pt GGA-PBE optimized geometry; values from VASP
! DFT formation energy ... 742.2 meV per atom
&SYSTEM
  ibrav = 0, nat = 8, ntyp = 3
/
ATOMIC_SPECIES
Mo 95.94 Mo.upf
Hg 200.59 Hg.upf
Pt 195.08 Pt.upf
CELL_PARAMETERS angstrom
7.440 0.000 0.000
0.000 7.440 0.000
3.720 3.720 2.674
ATOMIC_POSITIONS crystal
Mo 0.600 0.125 0.250
Mo 0.150 0.625 0.250
Mo 0.375 0.400 0.750
Mo 0.875 0.850 0.750
Hg 0.000 0.000 0.000
Hg 0.750 0.250 0.500
Pt 0.500 0.500 0.000
Pt 0.250 0.750 0.500

---

! PrY2Tm3Se6 GGA-PBE optimized geometry; values from VASP
! Formation energy (no corrections) ... -1.727 eV per atom
&SYSTEM
  ibrav = 0, nat = 12, ntyp = 4
/
ATOMIC_SPECIES
Pr 140.91 Pr.upf
Y 88.91 Y.upf
Tm 168.93 Tm.upf
Se 78.96 Se.upf
CELL_PARAMETERS angstrom
-1.596 2.913 2.317
-5.251 1.940 -6.059
-3.522 -7.636 3.634
ATOMIC_POSITIONS crystal
Pr 0.500 0.000 0.000
Y 0.836 0.671 0.672
Y 0.164 0.329 0.328
Tm 0.500 0.500 0.000
Tm 0.837 0.167 0.674
Tm 0.163 0.833 0.326
Se 0.327 0.919 0.653
Se 0.666 0.587 0.333
Se 0.673 0.081 0.347
Se 0.999 0.265 0.998
Se 0.001 0.735 0.002
Se 0.334 0.413 0.667

---

! Na4Tl3AgO8 GGA-PBE optimized geometry; values from VASP
! Formation energy (no corrections) ... -0.951 eV per atom
&SYSTEM
  ibrav = 0, nat = 16, ntyp = 4
/
ATOMIC_SPECIES
Na 22.99 Na.upf
Tl 204.38 Tl.upf
Ag 107.87 Ag.upf
O 16.00 O.upf
CELL_PARAMETERS angstrom
6.607 0.000 0.000
0.000 6.676 -0.026
-3.304 -3.350 5.101
ATOMIC_POSITIONS crystal
Na 0.500 0.000 0.000
Na 0.500 0.000 0.500
Na 0.000 0.000 0.000
Na 0.000 0.000 0.500
Tl 0.500 0.500 0.000
Tl 0.500 0.500 0.500
Tl 0.000 0.500 0.500
Ag 0.000 0.500 0.000
O 0.218 0.710 0.985
O 0.276 0.748 0.552
O 0.266 0.274 0.532
O 0.767 0.710 0.985
O 0.233 0.290 0.015
O 0.734 0.726 0.468
O 0.724 0.252 0.448
O 0.782 0.290 0.015

---

Number 1: energy -6.259 eV per atom. Number 2: energy -6.063 eV per atom. Number 3: energy -4.381 eV per atom.